# 1
A relaxed Ga3PbI crystal, computed with GGA-PBE.

Calculated values
Energy relative to the elements, uncorrected ... 1.58 eV per formula unit
Energy relative to the lowest polymorph listed for this composition ... 0.0 kJ/mol of formula units
SG ... No. 221

Cell: 5.749 5.749 5.749 Å, 90.00 90.00 90.00°
Atoms (fractional coordinates):
Ga 0.000 0.000 0.500
Ga 0.000 0.500 0.000
Ga 0.500 0.000 0.000
Pb 0.000 0.000 0.000
I 0.500 0.500 0.500

---

# 2
A relaxed Tm6Th2Mg crystal, computed with GGA-PBE.

Calculated values
Formation enthalpy at 0 K ... 0.0898 eV per atom
SG ... No. 187

Cell: 3.487 3.487 26.049 Å, 90.00 90.00 120.00°
Atoms (fractional coordinates):
Tm 0.000 0.000 0.063
Tm 0.000 0.000 0.286
Tm 0.000 0.000 0.714
Tm 0.000 0.000 0.937
Tm 0.333 0.667 0.392
Tm 0.333 0.667 0.608
Th 0.333 0.667 0.172
Th 0.333 0.667 0.828
Mg 0.000 0.000 0.500

---

# 3
A relaxed Tm4Co3Ru crystal, computed with GGA-PBE.

Calculated values
Formation enthalpy at 0 K ... -0.2789 eV per atom
SG ... No. 47

Cell: 3.327 4.662 9.292 Å, 90.00 90.00 90.00°
Atoms (fractional coordinates):
Tm 0.000 0.000 0.000
Tm 0.000 0.000 0.500
Tm 0.000 0.500 0.248
Tm 0.000 0.500 0.752
Co 0.500 0.000 0.247
Co 0.500 0.000 0.753
Co 0.500 0.500 0.000
Ru 0.500 0.500 0.500

---

# 4
A relaxed YPb2N crystal, computed with GGA-PBE.

Calculated values
Energy relative to the elements, uncorrected ... 0.04 eV per formula unit
SG ... No. 122

Cell: 9.597 9.597 4.591 Å, 90.00 90.00 90.00°
Atoms (fractional coordinates):
Y 0.000 0.000 0.000
Y 0.000 0.500 0.250
Y 0.500 0.000 0.750
Y 0.500 0.500 0.500
Pb 0.124 0.250 0.625
Pb 0.250 0.624 0.875
Pb 0.250 0.876 0.375
Pb 0.376 0.250 0.125
Pb 0.624 0.750 0.125
Pb 0.750 0.124 0.375
Pb 0.750 0.376 0.875
Pb 0.876 0.750 0.625
N 0.000 0.000 0.500
N 0.000 0.500 0.750
N 0.500 0.000 0.250
N 0.500 0.500 0.000

---

# 5
A relaxed Li2MgCdF6 crystal, computed with GGA-PBE.

Calculated values
Energy relative to the elements, uncorrected ... -28.81 eV per formula unit
SG ... No. 146

Cell: 5.679 5.679 5.679 Å, 55.45 55.45 55.45°
Atoms (fractional coordinates):
Li 0.000 0.000 0.000
Li 0.492 0.492 0.492
Mg 0.702 0.702 0.702
Cd 0.210 0.210 0.210
F 0.097 0.779 0.428
F 0.302 0.641 0.884
F 0.428 0.097 0.779
F 0.641 0.884 0.302
F 0.779 0.428 0.097
F 0.884 0.302 0.641

---

# 6
A relaxed La9ErTh2 crystal, computed with GGA-PBE.

Calculated values
Formation enthalpy at 0 K ... 0.0379 eV per atom
SG ... No. 123

Cell: 5.186 5.186 15.583 Å, 90.00 90.00 90.00°
Atoms (fractional coordinates):
La 0.000 0.000 0.000
La 0.000 0.000 0.333
La 0.000 0.000 0.667
La 0.000 0.500 0.170
La 0.000 0.500 0.500
La 0.000 0.500 0.830
La 0.500 0.000 0.170
La 0.500 0.000 0.500
La 0.500 0.000 0.830
Er 0.500 0.500 0.000
Th 0.500 0.500 0.333
Th 0.500 0.500 0.667

---

# 7
A relaxed TbThNbN3 crystal, computed with GGA-PBE.

Calculated values
Energy relative to the elements, uncorrected ... -6.64 eV per formula unit
SG ... No. 11

Cell: 7.245 3.402 7.998 Å, 90.00 92.11 90.00°
Atoms (fractional coordinates):
Tb 0.125 0.250 0.345
Tb 0.875 0.750 0.655
Th 0.394 0.750 0.675
Th 0.606 0.250 0.325
Nb 0.132 0.250 0.939
Nb 0.868 0.750 0.061
N 0.132 0.250 0.657
N 0.169 0.750 0.086
N 0.377 0.750 0.394
N 0.623 0.250 0.606
N 0.831 0.250 0.914
N 0.868 0.750 0.343

---

# 8
A relaxed K2BaLaC crystal, computed with GGA-PBE.

Calculated values
Formation enthalpy at 0 K ... 1.0901 eV per atom
SG ... No. 123

Cell: 6.096 6.096 5.239 Å, 90.00 90.00 90.00°
Atoms (fractional coordinates):
K 0.000 0.500 0.000
K 0.500 0.000 0.000
Ba 0.000 0.000 0.500
La 0.500 0.500 0.500
C 0.000 0.000 0.000

---

# 9
A relaxed Ta3Nb4Ru crystal, computed with GGA-PBE.

Calculated values
Formation enthalpy at 0 K ... -0.1172 eV per atom
SG ... No. 123

Cell: 3.267 3.267 13.217 Å, 90.00 90.00 90.00°
Atoms (fractional coordinates):
Ta 0.000 0.000 0.000
Ta 0.000 0.000 0.254
Ta 0.000 0.000 0.746
Nb 0.500 0.500 0.128
Nb 0.500 0.500 0.381
Nb 0.500 0.500 0.619
Nb 0.500 0.500 0.872
Ru 0.000 0.000 0.500